# CoBr3O

An optimized crystal structure of CoBr3O (PBE with a Hubbard U, Alexandria).

Summary:
As for the crystal system: cubic. The value obtained for the relative energy among the computed polymorphs is 0.000 eV per atom. For the total energy, the calculation gives -2.285 eV/atom. The calculation puts the calculated density at 4.9 Mg/m³.

abc: 4.7550 4.7550 4.7550
angles: 90.00 90.00 90.00
Sites, in units of the cell vectors:
Co (0.0000, 0.0000, 0.0000)
Br (0.0000, 0.5000, 0.5000)
Br (0.5000, 0.0000, 0.5000)
Br (0.5000, 0.5000, 0.0000)
O (0.5000, 0.5000, 0.5000)